VASP calculation (PBE with a Hubbard U) on crystalline Zn2NiPO at its relaxed geometry.

```
Zn2NiPO
1.0
4.487 0.000 0.000
0.000 4.300 0.000
0.000 0.000 4.487
Ni P O Zn
1 1 1 2
Direct
0.000 0.500 0.000
0.000 0.000 0.000
0.500 0.500 0.500
0.000 0.000 0.500
0.500 0.000 0.000
```

Summary:
**Space group**: P4/mmm (123)
**Total magnetization**: 1.00 μB per cell
**Electronic total energy**: -2.5860 eV/atom
**Energy above the most stable polymorph in this dataset**: 14.115 kcal/mol of atoms